Record 1
DFT (PBE-GGA) results for NdDyEr after structural relaxation.

magnetization: 0.00 μB/f.u.
crystal system: monoclinic
energy relative to the elements: 1 kJ per mole of atoms
E_tot: -13.9 eV per formula unit
calculated volume: 194.46 Å³/cell
excess energy over the best structure of this formula in the dataset: 0 meV per atom

Cell lengths 8.8915, 8.8915, 6.2240 Å; angles 96.61, 96.61, 23.45 degrees
With the nearest neighbours (Å) after each atom.
Positions (direct):
1 Nd 0.1653 0.1653 0.3893  3 Dy 3.53-3.54, 5 Er 3.57-3.60, 4 Nd 3.59-3.61
2 Nd 0.8347 0.8347 0.6107  3 Dy 3.53-3.54, 5 Er 3.57-3.60, 4 Nd 3.59-3.61
3 Dy 0.0000 0.0000 0.0000  2 Nd 3.54, 4 Er 3.55, 6 Dy 3.60-3.61
4 Dy 0.5000 0.5000 0.5000  4 Nd 3.53, 2 Er 3.56, 6 Dy 3.60-3.61
5 Er 0.3332 0.3332 0.1097  4 Er 3.55-3.61, 3 Dy 3.55-3.56, 5 Nd 3.57-3.60
6 Er 0.6668 0.6668 0.8903  4 Er 3.55-3.61, 3 Dy 3.55-3.56, 5 Nd 3.57-3.60



Record 2
DFT (PBE-GGA) results for Co2As after structural relaxation.

magnetization: 2.18 μB/f.u.
crystal system: tetragonal
energy relative to the elements: 11 kJ per mole of atoms
E_tot: -18.5 eV per formula unit
calculated volume: 36.64 Å³/cell

Cell lengths 4.7192, 4.7192, 4.7192 Å; angles 143.69, 143.69, 52.29 degrees
With the nearest neighbours (Å) after each atom.
Positions (direct):
1 Co 0.1574 0.1574 0.0000  4 As 2.47, 5 Co 2.60-2.67
2 Co 0.8426 0.8426 0.0000  4 As 2.47, 5 Co 2.60-2.67
3 As 0.5000 0.5000 0.0000  8 Co 2.47



Record 3
DFT (PBE-GGA) results for Y4Ho3Zr after structural relaxation.

magnetization: 0.00 μB/f.u.
crystal system: orthorhombic
energy relative to the elements: 20 kJ per mole of atoms
E_tot: -46.5 eV per formula unit
calculated volume: 250.41 Å³/cell

Cell lengths 13.2905, 13.2905, 3.4652 Å; angles 90.00, 90.00, 155.85 degrees
With the nearest neighbours (Å) after each atom.
Positions (direct):
1 Y 0.0999 0.9001 0.0000  2 Zr 3.12, 3 Y 3.17-3.47
2 Y 0.2218 0.7782 0.0000  5 Y 3.14-3.47
3 Y 0.7782 0.2218 0.0000  5 Y 3.14-3.47
4 Y 0.9001 0.0999 0.0000  2 Zr 3.12, 3 Y 3.17-3.47
5 Ho 0.3458 0.6542 0.5000  2 Ho 3.47, 10 Y 3.57-3.72
6 Ho 0.5000 0.5000 0.0000  4 Zr 3.28, 2 Ho 3.47
7 Ho 0.6542 0.3458 0.5000  2 Ho 3.47, 10 Y 3.57-3.72
8 Zr 0.0000 0.0000 0.5000  4 Y 3.12, 4 Ho 3.28, 2 Zr 3.47



Record 4
DFT (PBE-GGA) results for YTmZr2 after structural relaxation.

magnetization: 0.00 μB/f.u.
crystal system: tetragonal
energy relative to the elements: 11 kJ per mole of atoms
E_tot: -27.6 eV per formula unit
calculated volume: 105.72 Å³/cell
excess energy over the best structure of this formula in the dataset: 38 meV per atom

Cell lengths 4.6985, 4.6985, 4.7892 Å; angles 90.00, 90.00, 90.00 degrees
With the nearest neighbours (Å) after each atom.
Positions (direct):
1 Y 0.0000 0.0000 0.0000  4 Tm 3.32, 8 Zr 3.35
2 Tm 0.5000 0.5000 0.0000  4 Y 3.32, 8 Zr 3.35
3 Zr 0.0000 0.5000 0.5000  4 Zr 3.32, 4 Tm 3.35, 4 Y 3.35
4 Zr 0.5000 0.0000 0.5000  4 Zr 3.32, 4 Tm 3.35, 4 Y 3.35



Record 5
DFT (PBE-GGA) results for Na3Ce2TlS6 after structural relaxation.

magnetization: 0.32 μB/f.u.
formation energy without anion corrections: -1.39 eV per atom
crystal system: monoclinic
E_tot: -59.6 eV per formula unit
calculated volume: 300.08 Å³/cell

Cell lengths 9.0601, 9.0601, 8.3538 Å; angles 99.68, 99.68, 26.38 degrees
With the nearest neighbours (Å) after each atom.
Positions (direct):
1 Na 0.0000 0.0000 0.0000  6 S 2.83-3.01
2 Na 0.3441 0.3441 0.6633  6 S 2.90-3.13
3 Na 0.6559 0.6559 0.3367  6 S 2.90-3.13
4 Ce 0.3346 0.3346 0.1669  6 S 2.60-2.83
5 Ce 0.6654 0.6654 0.8331  6 S 2.60-2.83
6 Tl 0.0000 0.0000 0.5000  6 S 3.07-3.12
7 S 0.1732 0.1732 0.0659  3 Ce 2.83, 3 Na 3.01-3.12
8 S 0.1775 0.1775 0.6217  2 Ce 2.75, 1 Na 2.90
9 S 0.4844 0.4844 0.2242  1 Ce 2.60, 2 Na 2.83
10 S 0.5156 0.5156 0.7758  1 Ce 2.60, 2 Na 2.83
11 S 0.8225 0.8225 0.3783  2 Ce 2.75, 1 Na 2.90
12 S 0.8268 0.8268 0.9341  3 Ce 2.83, 3 Na 3.01-3.12



Record 6
DFT (PBE-GGA) results for Ga3PbBr after structural relaxation.

magnetization: 0.00 μB/f.u.
formation energy without anion corrections: 0.31 eV per atom
crystal system: cubic
E_tot: -12.9 eV per formula unit
calculated volume: 190.02 Å³/cell
excess energy over the best structure of this formula in the dataset: 0 meV per atom

Cell lengths 5.7491, 5.7491, 5.7491 Å; angles 90.00, 90.00, 90.00 degrees
With the nearest neighbours (Å) after each atom.
Positions (direct):
1 Ga 0.0000 0.0000 0.5000  2 Pb 2.87
2 Ga 0.0000 0.5000 0.0000  2 Pb 2.87
3 Ga 0.5000 0.0000 0.0000  2 Pb 2.87
4 Pb 0.0000 0.0000 0.0000  6 Ga 2.87
5 Br 0.5000 0.5000 0.5000  12 Ga 4.07